Compound: Y2SiPIr6
Source: the Alexandria database
Functional: GGA-PBE
Structure: relaxed

## Properties
calculated total energy = -8.2495 eV per atom
D(E_F) = 0.575 states/eV per atom
magnetic moment = 0.00 μB/f.u.
V = 367.22 Å³/cell
formation energy (no corrections) = -5.568 eV/f.u.

CIF file:
```
data_Y2SiPIr6
_chemical_formula_sum 'Y4 Si2 P2 Ir12'
_space_group_name_H-M_alt 'P m m n'
_space_group_IT_number 59
_cell_length_a 5.391
_cell_length_b 8.578
_cell_length_c 7.941
_cell_angle_alpha 90.00
_cell_angle_beta 90.00
_cell_angle_gamma 90.00
loop_
_space_group_symop_operation_xyz
'x,y,z'
'-x,-y,-z'
'-x+1/2,-y+1/2,z'
'x+1/2,y+1/2,-z'
'x+1/2,-y,-z'
'-x+1/2,y,z'
'-x,y+1/2,-z'
'x,-y+1/2,z'
loop_
_atom_site_label
_atom_site_fract_x
_atom_site_fract_y
_atom_site_fract_z
Y1 0.250 0.021 0.213
Si1 0.250 0.750 0.774
P1 0.250 0.250 0.740
Ir1 0.002 0.250 0.474
Ir2 0.007 0.750 0.027
Ir3 0.250 0.006 0.602
```

Compound: ZnSi2PIr
Source: the Alexandria database
Functional: GGA-PBE
Structure: relaxed

## Properties
calculated total energy = -4.3312 eV per atom
D(E_F) = 0.463 states/eV per atom
magnetic moment = 0.00 μB/f.u.
V = 85.66 Å³/cell
formation energy (no corrections) = 4.735 eV/f.u.

CIF file:
```
data_ZnSi2PIr
_chemical_formula_sum 'Zn1 Si2 P1 Ir1'
_space_group_name_H-M_alt 'P 4/m m m'
_space_group_IT_number 123
_space_group_name_Hall '-P 4 2'
_cell_length_a 4.424
_cell_length_b 4.424
_cell_length_c 4.376
_cell_angle_alpha 90.00
_cell_angle_beta 90.00
_cell_angle_gamma 90.00
loop_
_atom_site_label
_atom_site_fract_x
_atom_site_fract_y
_atom_site_fract_z
Zn1 0.000 0.000 0.000
Si1 0.000 0.500 0.500
P1 0.000 0.000 0.500
Ir1 0.500 0.500 0.000
```

Compound: Sm2P7Ir12
Source: the Alexandria database
Functional: GGA-PBE
Structure: relaxed

## Properties
calculated total energy = -7.9665 eV per atom
D(E_F) = 0.530 states/eV per atom
magnetic moment = 0.00 μB/f.u.
V = 319.50 Å³/cell
E_form = -0.650 eV/atom

CIF file:
```
data_Sm2P7Ir12
_chemical_formula_sum 'Sm2 P7 Ir12'
_space_group_name_H-M_alt 'P -3'
_space_group_IT_number 147
_cell_length_a 9.6139
_cell_length_b 9.6139
_cell_length_c 3.9916
_cell_angle_alpha 90.00
_cell_angle_beta 90.00
_cell_angle_gamma 120.00
loop_
_space_group_symop_operation_xyz
'x,y,z'
'-x,-y,-z'
'-y,x-y,z'
'y,-x+y,-z'
'-x+y,-x,z'
'x-y,x,-z'
loop_
_atom_site_label
_atom_site_fract_x
_atom_site_fract_y
_atom_site_fract_z
Sm1 0.3333 0.6667 0.2526
P1 0.0000 0.0000 0.0000
P2 0.1235 0.4072 0.7466
Ir1 0.0683 0.6162 0.7538
Ir2 0.1057 0.8435 0.2623
```

Compound: Sm3P5Ir6
Source: the Alexandria database
Functional: GGA-PBE
Structure: relaxed

## Properties
calculated total energy = -7.6838 eV per atom
D(E_F) = 0.481 states/eV per atom
magnetic moment = 0.00 μB/f.u.
V = 474.77 Å³/cell
E_form = -0.943 eV/atom

CIF file:
```
data_Sm3P5Ir6
_chemical_formula_sum 'Sm6 P10 Ir12'
_space_group_name_H-M_alt 'P m m n'
_space_group_IT_number 59
_cell_length_a 3.882
_cell_length_b 12.242
_cell_length_c 9.990
_cell_angle_alpha 90.00
_cell_angle_beta 90.00
_cell_angle_gamma 90.00
loop_
_space_group_symop_operation_xyz
'x,y,z'
'-x,-y,-z'
'-x+1/2,-y+1/2,z'
'x+1/2,y+1/2,-z'
'x+1/2,-y,-z'
'-x+1/2,y,z'
'-x,y+1/2,-z'
'x,-y+1/2,z'
loop_
_atom_site_label
_atom_site_fract_x
_atom_site_fract_y
_atom_site_fract_z
Sm1 0.250 0.098 0.241
Sm2 0.250 0.750 0.268
P1 0.250 0.078 0.841
P2 0.250 0.630 0.529
P3 0.250 0.750 0.886
Ir1 0.250 0.051 0.607
Ir2 0.250 0.250 0.483
Ir3 0.250 0.250 0.978
Ir4 0.250 0.583 0.023
```